No. 1
VASP calculation (PBE) on a geometry-optimized Ce2TaGa structure.

SG = R-3m (166)
M_tot = 0.000 μB/atom
energy relative to the elements = 0.216 eV/atom

a = 3.0300 Å, b = 3.0300 Å, c = 11.2071 Å
α = 82.23°, β = 82.23°, γ = 60.00°
Element x y z (fractional)
Ga: 0.5000 0.5000 0.5000
Ta: 0.0000 0.0000 0.0000
Ce: 0.9135 0.9135 0.2595
Ce: 0.0865 0.0865 0.7405



No. 2
VASP calculation (PBE) on a geometry-optimized TbCe2Ga structure.

SG = Fm-3m (225)
M_tot = 0.476 μB/atom
energy relative to the elements = -0.027 eV/atom

a = 5.3227 Å, b = 5.3227 Å, c = 5.3227 Å
α = 60.00°, β = 60.00°, γ = 60.00°
Site moments in Bohr magnetons follow the coordinates.
Element x y z (fractional)
Ce: 0.2500 0.2500 0.2500  0.64
Ce: 0.7500 0.7500 0.7500  0.64
Ga: 0.0000 0.0000 0.0000  -0.01
Tb: 0.5000 0.5000 0.5000  0.30